[1]
Ba2AlSi: PBEsol geometry, SCAN.

Raw formation energy, meV/atom: -17

Cell and atoms, written as extended XYZ:
```
4
Lattice="-1.5743 2.3015 -3.1638 -1.8462 -4.5889 -2.4196 -4.7631 0.4818 2.7206" Properties=species:S:1:pos:R:3 pbc="T T T"
Ba -2.3816 0.2409 1.3603
Ba -0.9231 -2.2945 -1.2098
Al -4.0918 -0.9028 -1.4314
Si -0.7871 1.1508 -1.5819
```

[2]
BaAlSi: PBEsol geometry, SCAN.

Raw formation energy, meV/atom: -430

Cell and atoms, written as extended XYZ:
```
3
Lattice="4.2916 0.0000 0.0000 -2.1458 3.7166 0.0000 0.0000 0.0000 5.0831" Properties=species:S:1:pos:R:3 pbc="T T T"
Ba 0.0000 0.0000 0.0000
Si 2.1458 1.2389 2.5415
Al 0.0000 2.4778 2.5415
```

[3]
BaAl2Sn: PBEsol geometry, SCAN.

Formation energy from the elements, eV/atom: -0.15

Cell and atoms, written as extended XYZ:
```
8
Lattice="-3.2763 -1.8139 3.5224 3.9060 -0.7126 3.2661 -1.5681 10.2411 0.0633" Properties=species:S:1:pos:R:3 pbc="T T T"
Al -0.9750 1.1594 3.4421
Al -1.7590 6.2799 3.4737
Al 0.9780 0.8031 5.0752
Al -0.1208 7.1868 1.7125
Ba 1.3264 4.1326 3.3618
Ba 0.0000 0.0000 0.0000
Sn 0.3148 -1.2632 3.3943
Sn -2.2648 3.5820 3.4900
```

[4]
Ba5Al5Sn: PBEsol geometry, SCAN.

Formation energy from the elements, eV/atom: -0.40

Cell and atoms, written as extended XYZ:
```
11
Lattice="-0.4636 5.2061 -2.9776 -1.5525 -5.1517 -2.6896 -10.3001 1.1851 3.6757" Properties=species:S:1:pos:R:3 pbc="T T T"
Al -7.8169 2.5578 -0.3870
Al -5.9561 -1.9202 0.3893
Al -6.1712 0.4954 -0.9923
Al -4.1363 2.1343 -1.7005
Al -6.8915 -1.8949 -2.2403
Ba -0.8266 1.7535 -2.8816
Ba -9.4269 -0.7513 0.1540
Ba -6.9277 0.7971 2.4722
Ba -3.2523 -1.4618 -2.0495
Ba -3.3724 0.3880 1.2035
Sn 0.0000 0.0000 0.0000
```

[5]
BaSrAl: PBEsol geometry, SCAN.

Formation energy from the elements, eV/atom: -0.07

Cell and atoms, written as extended XYZ:
```
3
Lattice="-1.7771 -1.5629 3.2880 0.9825 -3.7290 -1.2414 6.5793 3.0918 2.5300" Properties=species:S:1:pos:R:3 pbc="T T T"
Ba 1.2607 -2.5263 1.9763
Al 5.7074 -2.2056 4.5322
Sr 4.6011 0.3319 2.6446
```

[6]
BaSr2Al: PBEsol geometry, SCAN.

Formation energy from the elements, eV/atom: -0.04

Cell and atoms, written as extended XYZ:
```
4
Lattice="-2.4607 -1.0444 -3.0679 3.2173 -1.2508 -2.1547 -0.9797 -9.3653 3.9740" Properties=species:S:1:pos:R:3 pbc="T T T"
Sr -0.2913 -7.5485 0.1048
Sr -0.9672 -9.2460 3.9234
Ba 0.0688 -4.1061 -1.3559
Al -0.5029 -4.8079 2.0401
```

Taking the records one at a time from the top gives calculated total energy values of -96.93; -58.61; -183.12; -276.85; -69.80; -92.03 eV/cell.